The following is a DFT calculation (PBE) of crystalline TbZnInAu at its relaxed geometry.

Lattice parameters (Å, degrees): 6.9548 6.9548 6.9548 90.00 90.00 90.00
Atoms (fractional coordinates):
Tb 0.0000 0.0000 0.0000
Tb 0.0000 0.5000 0.5000
Tb 0.5000 0.0000 0.5000
Tb 0.5000 0.5000 0.0000
Zn 0.2500 0.2500 0.7500
Zn 0.2500 0.7500 0.2500
Zn 0.7500 0.2500 0.2500
Zn 0.7500 0.7500 0.7500
In 0.0000 0.0000 0.5000
In 0.0000 0.5000 0.0000
In 0.5000 0.0000 0.0000
In 0.5000 0.5000 0.5000
Au 0.2500 0.2500 0.2500
Au 0.2500 0.7500 0.7500
Au 0.7500 0.2500 0.7500
Au 0.7500 0.7500 0.2500

Summary:
Uncorrected energy in eV for the cell shown: -56.073
Fermi-level density of states in states/eV/atom: 0.521

The following is a DFT calculation (PBE) of crystalline LiZrCl at its relaxed geometry.

Lattice parameters (Å, degrees): 3.2582 3.2582 6.5374 90.00 90.00 120.00
Atoms (fractional coordinates):
Li 0.0000 0.0000 0.0000
Zr 0.6667 0.3333 0.3920
Cl 0.3333 0.6667 0.6892

Summary:
Fermi-level density of states in states/eV/atom: 0.170
Uncorrected formation energy in kJ/mol of formula units: -197

The following is a DFT calculation (PBE) of crystalline BaLaGa4 at its relaxed geometry.

Lattice parameters (Å, degrees): 4.3333 7.7339 9.5056 90.00 90.00 90.00
Atoms (fractional coordinates):
Ba 0.0000 0.0000 0.0000
Ba 0.5000 0.5000 0.5000
La 0.0000 0.0000 0.5000
La 0.5000 0.5000 0.0000
Ga 0.0000 0.3329 0.2317
Ga 0.0000 0.3329 0.7683
Ga 0.0000 0.6671 0.2317
Ga 0.0000 0.6671 0.7683
Ga 0.5000 0.1671 0.2683
Ga 0.5000 0.1671 0.7317
Ga 0.5000 0.8329 0.2683
Ga 0.5000 0.8329 0.7317

Summary:
Uncorrected energy in eV for the cell shown: -44.444
Fermi-level density of states in states/eV/atom: 0.729

The following is a DFT calculation (PBE) of crystalline RbBiP2O at its relaxed geometry.

Lattice parameters (Å, degrees): 5.5214 5.5214 4.4687 90.00 90.00 90.00
Atoms (fractional coordinates):
Rb 0.0000 0.0000 0.0000
Bi 0.5000 0.5000 0.5000
P 0.0000 0.5000 0.5000
P 0.5000 0.0000 0.5000
O 0.5000 0.5000 0.0000

Summary:
Fermi-level density of states in states/eV/atom: 0.543
Uncorrected formation energy in kJ/mol of formula units: 143

The following is a DFT calculation (PBE) of crystalline SrSnPb at its relaxed geometry.

Lattice parameters (Å, degrees): 5.1718 6.7805 11.6906 90.00 90.00 90.00
Atoms (fractional coordinates):
Sr 0.0000 0.0000 0.1925
Sr 0.0000 0.0000 0.8075
Sr 0.5000 0.5000 0.3075
Sr 0.5000 0.5000 0.6925
Sn 0.0000 0.5000 0.1218
Sn 0.0000 0.5000 0.8782
Sn 0.5000 0.0000 0.3782
Sn 0.5000 0.0000 0.6218
Pb 0.0000 0.2450 0.5000
Pb 0.0000 0.7550 0.5000
Pb 0.5000 0.2550 0.0000
Pb 0.5000 0.7450 0.0000

Summary:
Uncorrected energy in eV for the cell shown: -42.176
Fermi-level density of states in states/eV/atom: 0.697

The following is a DFT calculation (PBE) of crystalline TaTl2Ag2 at its relaxed geometry.

Lattice parameters (Å, degrees): 4.1184 4.1184 13.8470 90.00 90.00 90.00
Atoms (fractional coordinates):
Ta 0.0000 0.0000 0.0000
Ta 0.5000 0.5000 0.5000
Tl 0.0000 0.5000 0.2500
Tl 0.0000 0.5000 0.7500
Tl 0.5000 0.0000 0.2500
Tl 0.5000 0.0000 0.7500
Ag 0.0000 0.0000 0.4066
Ag 0.0000 0.0000 0.5934
Ag 0.5000 0.5000 0.0934
Ag 0.5000 0.5000 0.9066

Summary:
Uncorrected energy in eV for the cell shown: -34.930
Fermi-level density of states in states/eV/atom: 0.798